TbPr4Er2, optimized geometry, DFT PBE-GGA; space group = Fdd2, No. 43; calculated formation energy = 0.0630 eV/atom; offset from the most stable computed form = 0.0000 eV per atom; crystal system = orthorhombic
1.0
-11.781 -4.603 0.097
12.318 -1.305 2.558
-1.154 5.334 4.149
Pr Er Tb
8 4 2
Direct
0.175 0.712 0.363
0.186 0.795 0.898
0.600 0.562 0.638
0.712 0.175 0.863
0.039 0.148 0.602
0.148 0.039 0.102
0.562 0.600 0.138
0.795 0.186 0.398
0.104 0.921 0.549
0.623 0.306 0.452
0.921 0.104 0.049
0.306 0.623 0.952
0.421 0.671 0.500
0.671 0.421 0.000

=====

CsGaP3HO10, optimized geometry, DFT PBE-GGA; space group = P2/c, No. 13; E = -6.66 eV/atom; crystal system = monoclinic
1.0
5.064 0.000 0.000
0.000 8.945 0.052
0.000 5.423 10.689
O P H Cs Ga
20 6 2 2 2
Direct
0.191 0.852 0.055
0.943 0.587 0.548
0.288 0.809 0.504
0.712 0.191 0.496
0.809 0.852 0.555
0.943 0.413 0.952
0.931 0.857 0.344
0.288 0.191 0.996
0.416 0.078 0.819
0.416 0.922 0.681
0.069 0.143 0.656
0.069 0.857 0.844
0.584 0.922 0.181
0.191 0.148 0.445
0.057 0.413 0.452
0.712 0.809 0.004
0.931 0.143 0.156
0.057 0.587 0.048
0.584 0.078 0.319
0.809 0.148 0.945
0.996 0.777 0.494
0.004 0.223 0.506
0.263 0.000 0.750
0.996 0.223 0.006
0.004 0.777 0.994
0.737 0.000 0.250
0.000 0.500 0.000
0.000 0.500 0.500
0.493 0.500 0.750
0.507 0.500 0.250
0.500 0.000 0.000
0.500 0.000 0.500

=====

TbSm4Sb4, optimized geometry, DFT PBE-GGA; space group = I-42m, No. 121; raw formation energy = -0.626 eV/atom; crystal system = tetragonal
1.0
-7.012 -3.846 -0.533
3.105 -6.215 3.998
0.515 7.061 2.541
Sb Sm Tb
4 4 1
Direct
0.909 0.378 0.287
0.378 0.909 0.287
0.091 0.091 0.713
0.622 0.622 0.713
0.000 0.500 0.000
0.671 0.671 0.342
0.500 0.000 0.000
0.329 0.329 0.658
0.000 0.000 0.000